GaSi2Te8 after structural relaxation. Source: Alexandria via LeMat-Bulk, functional PBE.

Results
Space group: C2/m (12)
Raw formation energy (eV per atom): 0.04

a = 8.226 Å, b = 8.226 Å, c = 6.397 Å
α = 102.55°, β = 102.55°, γ = 58.24°
Positions (direct):
Ga 0.000 0.000 0.000
Si 0.166 0.166 0.613
Si 0.834 0.834 0.387
Te 0.183 0.183 0.230
Te 0.185 0.679 0.297
Te 0.321 0.815 0.703
Te 0.336 0.336 0.823
Te 0.664 0.664 0.177
Te 0.679 0.185 0.297
Te 0.815 0.321 0.703
Te 0.817 0.817 0.770


DyZr2Zn9 after structural relaxation. Source: Alexandria via LeMat-Bulk, functional PBE.

Results
Space group: R-3m (166)
Energy of formation from the pure elements (eV per atom): -0.29

a = 8.934 Å, b = 8.934 Å, c = 8.934 Å
α = 34.48°, β = 34.48°, γ = 34.48°
Positions (direct):
Dy 0.000 0.000 0.000
Zr 0.144 0.144 0.144
Zr 0.856 0.856 0.856
Zn 0.078 0.589 0.589
Zn 0.335 0.335 0.335
Zn 0.411 0.411 0.922
Zn 0.411 0.922 0.411
Zn 0.500 0.500 0.500
Zn 0.589 0.078 0.589
Zn 0.589 0.589 0.078
Zn 0.665 0.665 0.665
Zn 0.922 0.411 0.411


Nd2Ga5Cu after structural relaxation. Source: Alexandria via LeMat-Bulk, functional PBE.

Results
Space group: I4mm (107)
Energy of formation from the pure elements (eV per atom): -0.44

a = 6.096 Å, b = 6.096 Å, c = 8.996 Å
α = 90.00°, β = 90.00°, γ = 90.00°
Positions (direct):
Nd 0.000 0.500 0.000
Nd 0.000 0.500 0.500
Nd 0.500 0.000 0.000
Nd 0.500 0.000 0.500
Ga 0.000 0.000 0.037
Ga 0.225 0.225 0.753
Ga 0.225 0.775 0.753
Ga 0.275 0.275 0.253
Ga 0.275 0.725 0.253
Ga 0.500 0.500 0.537
Ga 0.725 0.275 0.253
Ga 0.725 0.725 0.253
Ga 0.775 0.225 0.753
Ga 0.775 0.775 0.753
Cu 0.000 0.000 0.358
Cu 0.500 0.500 0.858


no.,theoretical density (Mg/m³),total magnetic moment (μB/cell)
1,5.3,0.00
2,7.6,1.67
3,7.0,0.00